Ac2Cd3Ga4: optimized geometry, PBE-GGA.

The calculated formation energy comes out at -0.337 eV per atom.

Cell lengths 8.9091, 8.9091, 8.4888 Å; angles 90.00, 90.00, 138.98 degrees
Fractional positions:
Ac 0.1098 0.8902 0.9099
Ac 0.3902 0.6098 0.4099
Ac 0.6098 0.3902 0.5901
Ac 0.8902 0.1098 0.0901
Cd 0.0000 0.0000 0.5000
Cd 0.0297 0.4703 0.7500
Cd 0.4703 0.0297 0.2500
Cd 0.5000 0.5000 0.0000
Cd 0.5297 0.9703 0.7500
Cd 0.9703 0.5297 0.2500
Ga 0.1773 0.8227 0.5244
Ga 0.1940 0.3060 0.7500
Ga 0.3060 0.1940 0.2500
Ga 0.3227 0.6773 0.0244
Ga 0.6773 0.3227 0.9756
Ga 0.6940 0.8060 0.7500
Ga 0.8060 0.6940 0.2500
Ga 0.8227 0.1773 0.4756



TbTm5Al2: optimized geometry, PBE-GGA.

The calculated formation energy comes out at -0.102 eV per atom.

Cell lengths 8.1728, 8.1728, 8.1728 Å; angles 155.37, 103.66, 81.65 degrees
Fractional positions:
Tb 0.0000 0.0000 0.0000
Tm 0.1369 0.3636 0.7733
Tm 0.4096 0.6364 0.7733
Tm 0.5000 0.0000 0.5000
Tm 0.5904 0.3636 0.2267
Tm 0.8631 0.6364 0.2267
Al 0.2429 0.7429 0.5000
Al 0.7571 0.2571 0.5000



Y2AlTl: optimized geometry, PBE-GGA.

The calculated formation energy comes out at -0.360 eV per atom.

Cell lengths 5.3722, 5.3722, 3.5729 Å; angles 90.00, 90.00, 97.22 degrees
Fractional positions:
Y 0.0000 0.5000 0.0000
Y 0.5000 0.0000 0.0000
Al 0.0000 0.0000 0.5000
Tl 0.5000 0.5000 0.5000



Li2InPb5: optimized geometry, PBE-GGA.

The calculated formation energy comes out at -0.120 eV per atom.

Cell lengths 6.9776, 13.1555, 4.8091 Å; angles 90.00, 90.00, 90.00 degrees
Fractional positions:
Li 0.2328 0.1266 0.0000
Li 0.2672 0.6266 0.0000
Li 0.7328 0.3734 0.0000
Li 0.7672 0.8734 0.0000
In 0.0000 0.5000 0.5000
In 0.5000 0.0000 0.5000
Pb 0.0000 0.0000 0.5000
Pb 0.0280 0.7468 0.5000
Pb 0.2338 0.3795 0.0000
Pb 0.2662 0.8795 0.0000
Pb 0.4720 0.2468 0.5000
Pb 0.5000 0.5000 0.5000
Pb 0.5280 0.7532 0.5000
Pb 0.7338 0.1205 0.0000
Pb 0.7662 0.6205 0.0000
Pb 0.9720 0.2532 0.5000



Ba4SnO2: optimized geometry, PBE-GGA.

The raw formation energy is -147.7 kJ/mol of atoms.

Cell lengths 7.3106, 7.3106, 14.3081 Å; angles 90.00, 90.00, 145.50 degrees
Fractional positions:
Ba 0.0000 0.0000 0.0000
Ba 0.0000 0.0000 0.5000
Ba 0.2675 0.7325 0.6008
Ba 0.2675 0.7325 0.8992
Ba 0.4162 0.5838 0.2500
Ba 0.5838 0.4162 0.7500
Ba 0.7325 0.2675 0.1008
Ba 0.7325 0.2675 0.3992
Sn 0.1052 0.8948 0.2500
Sn 0.8948 0.1052 0.7500
O 0.3634 0.6366 0.0543
O 0.3634 0.6366 0.4457
O 0.6366 0.3634 0.5543
O 0.6366 0.3634 0.9457



MnZnBr6: optimized geometry, PBE-GGA.

The raw formation energy is -49.5 kJ/mol of atoms.

Cell lengths 6.8693, 6.8693, 6.8693 Å; angles 56.66, 56.66, 56.66 degrees
Fractional positions:
Mn 0.0000 0.0000 0.0000
Zn 0.5000 0.5000 0.5000
Br 0.0885 0.7649 0.3906
Br 0.2351 0.6094 0.9115
Br 0.3906 0.0885 0.7649
Br 0.6094 0.9115 0.2351
Br 0.7649 0.3906 0.0885
Br 0.9115 0.2351 0.6094



Number 1: total moment 0.00 μB/cell, mass density 8.036 g cm⁻³. Number 2: total moment 0.00 μB/cell, mass density 8.064 g cm⁻³. Number 3: total moment 0.00 μB/cell, mass density 6.642 g cm⁻³. Number 4: total moment 0.00 μB/cell, mass density 8.762 g cm⁻³. Number 5: total moment 0.00 μB/cell, mass density 5.367 g cm⁻³. Number 6: total moment 2.99 μB/cell, mass density 4.709 g cm⁻³.